NdZr6P9O36 at its PBEsol-relaxed geometry. Source: Alexandria, functional SCAN.

Results
- E_form (uncorrected): -159.715 eV per formula unit
- Total energy: -13.565 eV/atom

a b c (Å): 8.857 8.857 22.931
angles (deg): 90.00 90.00 120.00
Positions (direct):
Nd: 0.000 0.000 0.000
Nd: 0.000 0.000 0.500
Zr: 0.000 0.000 0.150
Zr: 0.000 0.000 0.350
Zr: 0.000 0.000 0.650
Zr: 0.000 0.000 0.850
Zr: 0.333 0.667 0.029
Zr: 0.333 0.667 0.312
Zr: 0.333 0.667 0.529
Zr: 0.333 0.667 0.812
Zr: 0.667 0.333 0.188
Zr: 0.667 0.333 0.471
Zr: 0.667 0.333 0.688
Zr: 0.667 0.333 0.971
P: 0.000 0.291 0.250
P: 0.000 0.709 0.750
P: 0.055 0.376 0.921
P: 0.055 0.679 0.421
P: 0.291 0.000 0.250
P: 0.291 0.291 0.750
P: 0.321 0.376 0.421
P: 0.321 0.945 0.921
P: 0.376 0.055 0.579
P: 0.376 0.321 0.079
P: 0.624 0.679 0.921
P: 0.624 0.945 0.421
P: 0.679 0.055 0.079
P: 0.679 0.624 0.579
P: 0.709 0.000 0.750
P: 0.709 0.709 0.250
P: 0.945 0.321 0.579
P: 0.945 0.624 0.079
O: 0.017 0.182 0.919
O: 0.017 0.835 0.419
O: 0.032 0.204 0.196
O: 0.032 0.828 0.696
O: 0.120 0.491 0.575
O: 0.120 0.629 0.075
O: 0.150 0.470 0.865
O: 0.150 0.680 0.365
O: 0.160 0.468 0.260
O: 0.160 0.692 0.760
O: 0.165 0.182 0.419
O: 0.165 0.983 0.919
O: 0.166 0.456 0.976
O: 0.166 0.710 0.476
O: 0.172 0.204 0.696
O: 0.172 0.968 0.196
O: 0.182 0.017 0.581
O: 0.182 0.165 0.081
O: 0.204 0.032 0.304
O: 0.204 0.172 0.804
O: 0.290 0.456 0.476
O: 0.290 0.834 0.976
O: 0.308 0.468 0.760
O: 0.308 0.840 0.260
O: 0.320 0.470 0.365
O: 0.320 0.850 0.865
O: 0.371 0.491 0.075
O: 0.371 0.880 0.575
O: 0.456 0.166 0.524
O: 0.456 0.290 0.024
O: 0.468 0.160 0.240
O: 0.468 0.308 0.740
O: 0.470 0.150 0.635
O: 0.470 0.320 0.135
O: 0.491 0.120 0.925
O: 0.491 0.371 0.425
O: 0.509 0.629 0.575
O: 0.509 0.880 0.075
O: 0.530 0.680 0.865
O: 0.530 0.850 0.365
O: 0.532 0.692 0.260
O: 0.532 0.840 0.760
O: 0.544 0.710 0.976
O: 0.544 0.834 0.476
O: 0.629 0.120 0.425
O: 0.629 0.509 0.925
O: 0.680 0.150 0.135
O: 0.680 0.530 0.635
O: 0.692 0.160 0.740
O: 0.692 0.532 0.240
O: 0.710 0.166 0.024
O: 0.710 0.544 0.524
O: 0.796 0.828 0.196
O: 0.796 0.968 0.696
O: 0.818 0.835 0.919
O: 0.818 0.983 0.419
O: 0.828 0.032 0.804
O: 0.828 0.796 0.304
O: 0.834 0.290 0.524
O: 0.834 0.544 0.024
O: 0.835 0.017 0.081
O: 0.835 0.818 0.581
O: 0.840 0.308 0.240
O: 0.840 0.532 0.740
O: 0.850 0.320 0.635
O: 0.850 0.530 0.135
O: 0.880 0.371 0.925
O: 0.880 0.509 0.425
O: 0.968 0.172 0.304
O: 0.968 0.796 0.804
O: 0.983 0.165 0.581
O: 0.983 0.818 0.081

YGe3C at its PBEsol-relaxed geometry. Source: Alexandria, functional SCAN.

Results
- Energy of formation: 2.210 eV per atom
- Total energy: -16.831 eV/atom

a b c (Å): 5.321 5.321 5.321
angles (deg): 90.00 90.00 90.00
Positions (direct):
Y: 0.000 0.000 0.000
Ge: 0.000 0.000 0.500
Ge: 0.000 0.500 0.000
Ge: 0.500 0.000 0.000
C: 0.500 0.500 0.500

What did the second record say?
YGe3C at its PBEsol-relaxed geometry. Source: Alexandria, functional SCAN.

Results
- Energy of formation: 2.210 eV per atom
- Total energy: -16.831 eV/atom

a b c (Å): 5.321 5.321 5.321
angles (deg): 90.00 90.00 90.00
Positions (direct):
Y: 0.000 0.000 0.000
Ge: 0.000 0.000 0.500
Ge: 0.000 0.500 0.000
Ge: 0.500 0.000 0.000
C: 0.500 0.500 0.500